1.
Material: K2CoPdF6
Method: DFT, PBE+U
State: relaxed

a = 5.9819 Å, b = 5.9819 Å, c = 30.7433 Å
α = 90.00°, β = 90.00°, γ = 120.00°
Closest atoms and distances in Å follow each position.
Space group R-3m (No. 166, hexagonal axes)
One atom of each set of equivalent atoms:
1 K 0.0000 0.0000 0.1310 (multiplicity 6)  12 F 2.95-3.28
2 K 0.0000 0.0000 0.2864 (multiplicity 6)  12 F 3.00-3.19
3 Co 0.0000 0.0000 0.0000 (multiplicity 3)  6 F 2.04
4 Co 0.0000 0.0000 0.5000 (multiplicity 3)  6 F 2.07
5 Pd 0.0000 0.0000 0.4111 (multiplicity 6)  6 F 2.16-2.23
6 F 0.0141 0.5070 0.1263 (multiplicity 18)  1 Co 2.07, 1 Pd 2.23
7 F 0.0135 0.5068 0.7054 (multiplicity 18)  1 Co 2.04, 1 Pd 2.16

Calculated values
crystal system	trigonal
total moment	4.999	μB/f.u.
ρ	3.74	g/cm³
E	-267.4	eV per cell

2.
Material: KCo2PdF
Method: DFT, PBE+U
State: relaxed

a = 5.1141 Å, b = 5.1141 Å, c = 4.3122 Å
α = 90.00°, β = 90.00°, γ = 90.00°
Closest atoms and distances in Å follow each position.
Space group P4/mmm (No. 123)
One atom of each set of equivalent atoms:
1 K 0.0000 0.0000 0.0000 (multiplicity 1)  2 F 2.16
2 Co 0.0000 0.5000 0.0000 (multiplicity 2)  2 K 2.56
3 Pd 0.5000 0.5000 0.5000 (multiplicity 1)  8 Co 3.34, 4 F 3.62
4 F 0.0000 0.0000 0.5000 (multiplicity 1)  2 K 2.16

Calculated values
crystal system	tetragonal
total moment	4.091	μB/f.u.
ρ	4.16	g/cm³
E	-14.0	eV per cell
distance to the lowest polymorph of the same formula	0.6307	eV/atom

3.
Material: KPmCoF6
Method: DFT, PBE+U
State: relaxed

a = 7.2977 Å, b = 7.6922 Å, c = 10.3511 Å
α = 90.00°, β = 90.00°, γ = 90.00°
Closest atoms and distances in Å follow each position.
Space group Imma (No. 74)
One atom of each set of equivalent atoms:
1 K 0.0000 0.2500 0.0858 (multiplicity 4)  9 F 2.90-3.05
2 Pm 0.0000 0.0000 0.5000 (multiplicity 4)  8 F 2.30-2.47
3 Co 0.2500 0.2500 0.7500 (multiplicity 4)  6 F 2.03-2.10
4 F 0.0000 0.2500 0.3777 (multiplicity 4)  2 Pm 2.30
5 F 0.0000 0.2500 0.6496 (multiplicity 4)  2 Co 2.10
6 F 0.2248 0.0575 0.8833 (multiplicity 16)  1 Co 2.03

Calculated values
crystal system	orthorhombic
total moment	3.000	μB/f.u.
ρ	4.08	g/cm³
E	-201.1	eV per cell

4.
Material: KPmCo2F8
Method: DFT, PBE+U
State: relaxed

a = 6.2685 Å, b = 6.2685 Å, c = 17.0008 Å
α = 90.00°, β = 90.00°, γ = 120.00°
Closest atoms and distances in Å follow each position.
Space group R-3 (No. 148, hexagonal axes)
One atom of each set of equivalent atoms:
1 K 0.0000 0.0000 0.0000 (multiplicity 3)  6 F 2.91
2 Pm 0.0000 0.0000 0.5000 (multiplicity 3)  8 F 2.37-2.39
3 Co 0.0000 0.0000 0.2466 (multiplicity 6)  4 F 1.92-1.95
4 F 0.0000 0.0000 0.3596 (multiplicity 6)  1 Co 1.92
5 F 0.0009 0.3037 0.2207 (multiplicity 18)  1 Co 1.95

Calculated values
crystal system	trigonal
total moment	6.000	μB/f.u.
ρ	3.91	g/cm³
E	-193.9	eV per cell

5.
Material: K2PmCoF6
Method: DFT, PBE+U
State: relaxed

a = 6.1060 Å, b = 8.8708 Å, c = 6.5756 Å
α = 90.00°, β = 90.00°, γ = 90.00°
Closest atoms and distances in Å follow each position.
Space group Pmmn (No. 59, origin choice 2)
One atom of each set of equivalent atoms:
1 K 0.2500 0.0247 0.1946 (multiplicity 4)  9 F 2.76-3.07
2 Pm 0.2500 0.2500 0.7110 (multiplicity 2)  6 F 2.24-2.28
3 Co 0.2500 0.7500 0.7810 (multiplicity 2)  6 F 2.21-2.25
4 F 0.0073 0.7500 0.0379 (multiplicity 4)  1 Co 2.25, 1 Pm 2.28
5 F 0.0095 0.2500 0.4540 (multiplicity 4)  1 Co 2.21, 1 Pm 2.24
6 F 0.2500 0.0010 0.7754 (multiplicity 4)  1 Co 2.23, 1 Pm 2.25

Calculated values
crystal system	orthorhombic
total moment	2.010	μB/f.u.
ρ	3.69	g/cm³
E	-103.9	eV per cell

6.
Material: KPrCoF6
Method: DFT, PBE+U
State: relaxed

a = 7.3728 Å, b = 7.8210 Å, c = 10.3405 Å
α = 90.00°, β = 90.00°, γ = 90.00°
Closest atoms and distances in Å follow each position.
Space group Imma (No. 74)
One atom of each set of equivalent atoms:
1 K 0.0000 0.2500 0.0809 (multiplicity 4)  9 F 2.96-3.03
2 Pr 0.0000 0.0000 0.5000 (multiplicity 4)  8 F 2.35-2.51
3 Co 0.2500 0.2500 0.7500 (multiplicity 4)  6 F 2.03-2.10
4 F 0.0000 0.2500 0.3743 (multiplicity 4)  2 Pr 2.35
5 F 0.0000 0.2500 0.6521 (multiplicity 4)  2 Co 2.10
6 F 0.2224 0.0615 0.8835 (multiplicity 16)  1 Co 2.03

Calculated values
crystal system	orthorhombic
total moment	3.000	μB/f.u.
ρ	3.93	g/cm³
E	-200.7	eV per cell